1.
{
  "formula": "SbBr2Cl",
  "functional": "PBEsol",
  "state": "optimized geometry",
  "dft_energy_ev_per_atom": -3.20,
  "raw_formation_energy_mev_per_atom": -624.7,
  "volume_a3_per_atom": 36.67,
  "e_above_lowest_polymorph_mev_per_atom": 8,
  "lattice_angstrom": [[5.6906, 0.0000, 0.0000], [0.0000, 3.9497, 0.0000], [-2.7692, 0.0000, 6.5266]],
  "species": ["Sb", "Br", "Br", "Cl"],
  "fractional_positions": [[0.0000, 0.0000, 0.0000], [0.1518, 0.5000, 0.3038], [0.4423, 0.0000, 0.9827], [0.8556, 0.5000, 0.7249]]
}

2.
{
  "formula": "Tl2ReSi",
  "functional": "PBEsol",
  "state": "optimized geometry",
  "dft_energy_ev_per_atom": -5.05,
  "raw_formation_energy_mev_per_atom": 1030.9,
  "volume_a3_per_atom": 18.73,
  "e_above_lowest_polymorph_mev_per_atom": 682,
  "lattice_angstrom": [[-2.1383, 2.1383, 4.0966], [2.1383, -2.1383, 4.0966], [2.1383, 2.1383, -4.0966]],
  "species": ["Tl", "Tl", "Re", "Si"],
  "fractional_positions": [[0.0000, 0.0000, 0.0000], [0.7500, 0.2500, 0.5000], [0.5000, 0.5000, 0.0000], [0.2500, 0.7500, 0.5000]]
}

3.
{
  "formula": "RePdSCl2",
  "functional": "PBEsol",
  "state": "optimized geometry",
  "dft_energy_ev_per_atom": -4.51,
  "raw_formation_energy_mev_per_atom": 1031.3,
  "volume_a3_per_atom": 20.70,
  "lattice_angstrom": [[4.6152, 0.0000, 0.0000], [0.0000, 4.6152, 0.0000], [0.0000, 0.0000, 4.8595]],
  "species": ["Re", "Pd", "S", "Cl", "Cl"],
  "fractional_positions": [[0.0000, 0.0000, 0.0000], [0.5000, 0.5000, 0.5000], [0.5000, 0.5000, 0.0000], [0.0000, 0.5000, 0.5000], [0.5000, 0.0000, 0.5000]]
}

4.
{
  "formula": "Li7Cr3W2O16",
  "functional": "PBEsol",
  "state": "optimized geometry",
  "dft_energy_ev_per_atom": -7.65,
  "raw_formation_energy_mev_per_atom": -2075.7,
  "volume_a3_per_atom": 9.87,
  "lattice_angstrom": [[5.0370, -2.8790, 0.0000], [5.0370, 2.8790, 0.0000], [-0.1087, 0.0000, 9.5263]],
  "species": ["Li", "Li", "Li", "Li", "Li", "Li", "Li", "Cr", "Cr", "Cr", "W", "W", "O", "O", "O", "O", "O", "O", "O", "O", "O", "O", "O", "O", "O", "O", "O", "O"],
  "fractional_positions": [[0.0000, 0.0000, 0.0000], [0.3267, 0.8335, 0.6958], [0.3312, 0.3312, 0.5016], [0.5021, 0.5021, 0.1978], [0.6686, 0.6686, 0.9115], [0.6777, 0.6777, 0.4176], [0.8335, 0.3267, 0.6958], [0.0176, 0.5140, 0.1834], [0.5140, 0.0176, 0.1834], [0.8457, 0.8457, 0.6661], [0.0231, 0.0231, 0.4173], [0.3332, 0.3332, 0.9068], [0.0101, 0.4935, 0.8193], [0.1281, 0.7030, 0.5495], [0.1486, 0.1486, 0.5541], [0.1712, 0.6278, 0.0648], [0.1882, 0.1882, 0.0652], [0.3124, 0.3124, 0.2952], [0.3333, 0.8412, 0.3167], [0.4935, 0.0101, 0.8193], [0.4948, 0.4948, 0.8307], [0.6278, 0.1712, 0.0648], [0.6751, 0.6751, 0.1103], [0.6844, 0.6844, 0.6129], [0.7030, 0.1281, 0.5495], [0.8412, 0.3333, 0.3167], [0.8432, 0.8432, 0.3019], [0.9657, 0.9657, 0.7922]]
}

5.
{
  "formula": "KBa4Ca",
  "functional": "PBEsol",
  "state": "optimized geometry",
  "dft_energy_ev_per_atom": -1.75,
  "volume_a3_per_atom": 60.45,
  "formation_enthalpy_0k_ev_per_atom": 0.223,
  "lattice_angstrom": [[0.0000, 5.6604, 5.6604], [5.6604, 0.0000, 5.6604], [5.6604, 5.6604, 0.0000]],
  "species": ["K", "Ba", "Ba", "Ba", "Ba", "Ca"],
  "fractional_positions": [[0.0000, 0.0000, 0.0000], [0.3756, 0.3756, 0.3756], [0.3756, 0.3756, 0.8731], [0.3756, 0.8731, 0.3756], [0.8731, 0.3756, 0.3756], [0.7500, 0.7500, 0.7500]]
}

6.
{
  "formula": "Rb2InHgBr6",
  "functional": "PBEsol",
  "state": "optimized geometry",
  "dft_energy_ev_per_atom": -2.75,
  "raw_formation_energy_mev_per_atom": -1072.0,
  "volume_a3_per_atom": 34.10,
  "lattice_angstrom": [[0.0000, 5.5450, 5.5450], [5.5450, 0.0000, 5.5450], [5.5450, 5.5450, 0.0000]],
  "species": ["Rb", "Rb", "In", "Hg", "Br", "Br", "Br", "Br", "Br", "Br"],
  "fractional_positions": [[0.2500, 0.2500, 0.2500], [0.7500, 0.7500, 0.7500], [0.0000, 0.0000, 0.0000], [0.5000, 0.5000, 0.5000], [0.2443, 0.2443, 0.7557], [0.2443, 0.7557, 0.2443], [0.2443, 0.7557, 0.7557], [0.7557, 0.2443, 0.2443], [0.7557, 0.2443, 0.7557], [0.7557, 0.7557, 0.2443]]
}

7.
{
  "formula": "ScCo2Hg",
  "functional": "PBEsol",
  "state": "optimized geometry",
  "dft_energy_ev_per_atom": -5.69,
  "volume_a3_per_atom": 14.50,
  "formation_enthalpy_0k_ev_per_atom": -0.024,
  "lattice_angstrom": [[-1.8802, 1.8802, 4.1025], [1.8802, -1.8802, 4.1025], [1.8802, 1.8802, -4.1025]],
  "species": ["Sc", "Co", "Co", "Hg"],
  "fractional_positions": [[0.0000, 0.0000, 0.0000], [0.5000, 0.5000, 0.0000], [0.7500, 0.2500, 0.5000], [0.2500, 0.7500, 0.5000]]
}

8.
{
  "formula": "MgZr2Cd",
  "functional": "PBEsol",
  "state": "optimized geometry",
  "dft_energy_ev_per_atom": -5.33,
  "volume_a3_per_atom": 20.84,
  "formation_enthalpy_0k_ev_per_atom": -0.055,
  "lattice_angstrom": [[4.3275, 0.0000, 0.0000], [0.0000, 4.3275, 0.0000], [0.0000, 0.0000, 4.4512]],
  "species": ["Mg", "Zr", "Zr", "Cd"],
  "fractional_positions": [[0.0000, 0.0000, 0.0000], [0.0000, 0.5000, 0.5000], [0.5000, 0.0000, 0.5000], [0.5000, 0.5000, 0.0000]]
}